a:
CdMo2Cl | GGA-PBE | optimized geometry

Unit cell a=10.8161 b=2.8420 c=5.1244 alpha=90.00 beta=118.10 gamma=90.00
Last column: nearest neighbours and their distance in Å.
Space group C2/m (No. 12)
Inequivalent atoms, fractional coordinates:
1 Cd 0.0000 0.0000 0.0000 x2  2 Cd 2.84, 4 Cl 2.93, 4 Mo 3.01
2 Mo 0.2215 0.0000 0.7233 x4  2 Cl 2.55, 2 Mo 2.84
3 Cl 0.0000 0.5000 0.5000 x2  4 Mo 2.55, 2 Cl 2.84

## Properties
Calculated volume, Å³/atom: 17.369
Density, g/cm3: 8.120

b:
CdMo2Cl | GGA-PBE | optimized geometry

Unit cell a=5.3926 b=9.6463 c=2.7668 alpha=90.00 beta=90.00 gamma=90.00
Last column: nearest neighbours and their distance in Å.
Space group Cmmm (No. 65)
Inequivalent atoms, fractional coordinates:
1 Cd 0.0000 0.0000 0.0000 x2  2 Cl 2.70, 2 Cd 2.77
2 Mo 0.2500 0.2500 0.5000 x4  4 Mo 2.70-2.77
3 Cl 0.0000 0.5000 0.0000 x2  2 Cd 2.70, 2 Cl 2.77

## Properties
Calculated volume, Å³/atom: 17.991
Density, g/cm3: 7.840

c:
CdMo2Cl | GGA-PBE | optimized geometry

Unit cell a=2.9216 b=2.9216 c=27.0370 alpha=90.00 beta=90.00 gamma=120.00
Last column: nearest neighbours and their distance in Å.
Space group R-3m (No. 166, hexagonal axes)
Inequivalent atoms, fractional coordinates:
1 Cd 0.0000 0.0000 0.0000 x3  6 Cd 2.92, 6 Mo 2.99
2 Mo 0.0000 0.0000 0.2419 x6  3 Cl 2.64, 6 Mo 2.92
3 Cl 0.0000 0.0000 0.5000 x3  6 Mo 2.64, 6 Cl 2.92

## Properties
Calculated volume, Å³/atom: 16.655
Density, g/cm3: 8.468

Sorted by energy, starting with the most stable: c, a, b.

a:
CdMoP2Cl | GGA-PBE | optimized geometry

Unit cell a=4.9363 b=4.9363 c=5.0982 alpha=90.00 beta=90.00 gamma=90.00
Last column: nearest neighbours and their distance in Å.
Space group P4/mmm (No. 123)
Inequivalent atoms, fractional coordinates:
1 Cd 0.0000 0.0000 0.0000 x1  4 P 2.47, 2 Cl 2.55
2 Mo 0.5000 0.5000 0.5000 x1  4 Cl 3.49, 8 P 3.55
3 P 0.0000 0.5000 0.0000 x2  2 Cd 2.47
4 Cl 0.0000 0.0000 0.5000 x1  2 Cd 2.55

## Properties
Calculated volume, Å³/atom: 24.846
Density, g/cm3: 4.087

b:
CdMoP2Cl | GGA-PBE | optimized geometry

Unit cell a=4.6734 b=4.6734 c=5.1191 alpha=90.00 beta=90.00 gamma=90.00
Last column: nearest neighbours and their distance in Å.
Space group P4/mmm (No. 123)
Inequivalent atoms, fractional coordinates:
1 Cd 0.0000 0.0000 0.0000 x1  4 Cl 3.30, 8 P 3.47
2 Mo 0.5000 0.5000 0.5000 x1  4 P 2.34, 2 Cl 2.56
3 P 0.0000 0.5000 0.5000 x2  2 Mo 2.34
4 Cl 0.5000 0.5000 0.0000 x1  2 Mo 2.56

## Properties
Calculated volume, Å³/atom: 22.361
Density, g/cm3: 4.541

Sorted by energy, starting with the most stable: b, a.

a:
Cd2MoPdCl | GGA-PBE | optimized geometry

Unit cell a=5.5384 b=5.5384 c=4.7668 alpha=90.00 beta=90.00 gamma=90.00
Last column: nearest neighbours and their distance in Å.
Space group P4/mmm (No. 123)
Inequivalent atoms, fractional coordinates:
1 Cd 0.0000 0.5000 0.0000 x2  2 Mo 2.77
2 Mo 0.0000 0.0000 0.0000 x1  2 Pd 2.38
3 Pd 0.0000 0.0000 0.5000 x1  2 Mo 2.38
4 Cl 0.5000 0.5000 0.5000 x1  8 Cd 3.65, 4 Pd 3.92

## Properties
Calculated volume, Å³/atom: 29.243
Density, g/cm3: 5.254

b:
Cd2MoPdCl | GGA-PBE | optimized geometry

Unit cell a=5.2855 b=5.2855 c=4.7387 alpha=90.00 beta=90.00 gamma=90.00
Last column: nearest neighbours and their distance in Å.
Space group P4/mmm (No. 123)
Inequivalent atoms, fractional coordinates:
1 Cd 0.0000 0.5000 0.0000 x2  2 Pd 2.64
2 Mo 0.0000 0.0000 0.5000 x1  8 Cd 3.55, 4 Cl 3.74
3 Pd 0.5000 0.5000 0.0000 x1  2 Cl 2.37, 4 Cd 2.64
4 Cl 0.5000 0.5000 0.5000 x1  2 Pd 2.37

## Properties
Calculated volume, Å³/atom: 26.476
Density, g/cm3: 5.803

Sorted by energy, starting with the most stable: b, a.

a:
CdMoS2Cl | GGA-PBE | optimized geometry

Unit cell a=5.0009 b=5.0009 c=4.9750 alpha=90.00 beta=90.00 gamma=90.00
Last column: nearest neighbours and their distance in Å.
Space group P4/mmm (No. 123)
Inequivalent atoms, fractional coordinates:
1 Cd 0.0000 0.0000 0.0000 x1  2 Cl 2.49, 4 S 2.50
2 Mo 0.5000 0.5000 0.5000 x1  8 S 3.53, 4 Cl 3.54
3 S 0.0000 0.5000 0.0000 x2  2 Cd 2.50
4 Cl 0.0000 0.0000 0.5000 x1  2 Cd 2.49

## Properties
Calculated volume, Å³/atom: 24.884
Density, g/cm3: 4.110

b:
CdMoS2Cl | GGA-PBE | optimized geometry

Unit cell a=4.6858 b=4.6858 c=4.9980 alpha=90.00 beta=90.00 gamma=90.00
Last column: nearest neighbours and their distance in Å.
Space group P4/mmm (No. 123)
Inequivalent atoms, fractional coordinates:
1 Cd 0.0000 0.0000 0.0000 x1  4 Cl 3.31, 8 S 3.43
2 Mo 0.5000 0.5000 0.5000 x1  4 S 2.34, 2 Cl 2.50
3 S 0.0000 0.5000 0.5000 x2  2 Mo 2.34
4 Cl 0.5000 0.5000 0.0000 x1  2 Mo 2.50

## Properties
Calculated volume, Å³/atom: 21.948
Density, g/cm3: 4.660

Sorted by energy, starting with the most stable: b, a.

a:
VCd2MoCl | GGA-PBE | optimized geometry

Unit cell a=5.0828 b=5.0828 c=4.3901 alpha=90.00 beta=90.00 gamma=90.00
Last column: nearest neighbours and their distance in Å.
Space group P4/mmm (No. 123)
Inequivalent atoms, fractional coordinates:
1 V 0.0000 0.0000 0.0000 x1  8 Cd 3.36, 4 Mo 3.59
2 Cd 0.0000 0.5000 0.5000 x2  2 Cl 2.54
3 Mo 0.5000 0.5000 0.0000 x1  2 Cl 2.20
4 Cl 0.5000 0.5000 0.5000 x1  2 Mo 2.20

## Properties
Calculated volume, Å³/atom: 22.684
Density, g/cm3: 5.961

b:
VCd2MoCl | GGA-PBE | optimized geometry

Unit cell a=5.3651 b=5.3651 c=4.3061 alpha=90.00 beta=90.00 gamma=90.00
Last column: nearest neighbours and their distance in Å.
Space group P4/mmm (No. 123)
Inequivalent atoms, fractional coordinates:
1 V 0.0000 0.0000 0.0000 x1  2 Cl 2.15
2 Cd 0.0000 0.5000 0.0000 x2  2 V 2.68
3 Mo 0.5000 0.5000 0.5000 x1  8 Cd 3.44, 4 Cl 3.79
4 Cl 0.0000 0.0000 0.5000 x1  2 V 2.15

## Properties
Calculated volume, Å³/atom: 24.789
Density, g/cm3: 5.455

Sorted by energy, starting with the most stable: b, a.

a:
CdN2Cl | GGA-PBE | optimized geometry

Unit cell a=3.7423 b=6.3188 c=10.9060 alpha=74.78 beta=87.24 gamma=89.32
Last column: nearest neighbours and their distance in Å.
Space group P-1 (No. 2)
Inequivalent atoms, fractional coordinates:
1 Cd 0.0000 0.0000 0.0000 x1  2 Cd 3.16
2 Cd 0.0000 0.5000 0.0000 x1  4 Cl 2.58
3 N 0.1588 0.1696 0.6493 x2  1 N 1.11
4 N 0.2696 0.2292 0.5497 x2  1 N 1.11
5 Cl 0.4778 0.4248 0.1688 x2  2 Cd 2.58

## Properties
Calculated volume, Å³/atom: 31.069
Density, g/cm3: 2.350

b:
CdN2Cl | GGA-PBE | optimized geometry

Unit cell a=6.3708 b=6.3708 c=6.3708 alpha=90.00 beta=90.00 gamma=90.00
Last column: nearest neighbours and their distance in Å.
Space group Fm-3m (No. 225)
Inequivalent atoms, fractional coordinates:
1 Cd 0.0000 0.0000 0.0000 x4  8 N 2.76
2 N 0.2500 0.2500 0.2500 x8  4 Cd 2.76, 4 Cl 2.76
3 Cl 0.0000 0.0000 0.5000 x4  8 N 2.76

## Properties
Calculated volume, Å³/atom: 16.160
Density, g/cm3: 4.518

Sorted by energy, starting with the most stable: a, b.

a:
CdN2Cl | GGA-PBE | optimized geometry

Unit cell a=3.3585 b=3.3585 c=18.7512 alpha=90.00 beta=90.00 gamma=120.00
Last column: nearest neighbours and their distance in Å.
Space group R-3m (No. 166, hexagonal axes)
Inequivalent atoms, fractional coordinates:
1 Cd 0.0000 0.0000 0.0000 x3  2 N 2.12
2 N 0.0000 0.0000 0.1131 x6  1 Cd 2.12, 3 Cl 2.18
3 Cl 0.0000 0.0000 0.5000 x3  6 N 2.18

## Properties
Calculated volume, Å³/atom: 15.264
Density, g/cm3: 4.783

b:
CdN2Cl | GGA-PBE | optimized geometry

Unit cell a=4.6950 b=4.6950 c=11.1627 alpha=90.00 beta=90.00 gamma=90.00
Last column: nearest neighbours and their distance in Å.
Space group I-42d (No. 122)
Inequivalent atoms, fractional coordinates:
1 Cd 0.0000 0.0000 0.0000 x4  4 N 2.31
2 N 0.1989 0.2500 0.6250 x8  2 Cl 2.05
3 Cl 0.0000 0.0000 0.5000 x4  4 N 2.05

## Properties
Calculated volume, Å³/atom: 15.379
Density, g/cm3: 4.748

Sorted by energy, starting with the most stable: b, a.

a:
CdNCl3 | GGA-PBE | optimized geometry

Unit cell a=5.7668 b=7.3948 c=7.7959 alpha=90.00 beta=110.47 gamma=90.00
Last column: nearest neighbours and their distance in Å.
Space group P2_1/m (No. 11)
Inequivalent atoms, fractional coordinates:
1 Cd 0.0000 0.0000 0.0000 x2  2 Cl 2.53
2 N 0.3561 0.2500 0.7082 x2  2 Cl 1.76-1.77
3 Cl 0.0743 0.2500 0.7475 x2  1 N 1.76
4 Cl 0.1746 0.2500 0.2300 x2  2 Cd 2.53
5 Cl 0.4023 0.7500 0.0756 x2  1 N 1.77

## Properties
Calculated volume, Å³/atom: 31.146
Density, g/cm3: 2.482

b:
CdNCl3 | GGA-PBE | optimized geometry

Unit cell a=10.9751 b=7.8320 c=7.0557 alpha=90.00 beta=90.00 gamma=90.00
Last column: nearest neighbours and their distance in Å.
Space group Cmcm (No. 63)
Inequivalent atoms, fractional coordinates:
1 Cd 0.0000 0.0000 0.0000 x4  4 Cl 2.58, 2 N 2.83
2 N 0.0000 0.2828 0.2500 x4  1 Cl 1.58
3 Cl 0.0000 0.4845 0.2500 x4  1 N 1.58
4 Cl 0.1571 0.0960 0.7500 x8  2 Cd 2.58

## Properties
Calculated volume, Å³/atom: 30.324
Density, g/cm3: 2.549

Sorted by energy, starting with the most stable: b, a.

a:
CdN2Cl2 | GGA-PBE | optimized geometry

Unit cell a=7.8336 b=9.0905 c=3.7416 alpha=90.00 beta=90.00 gamma=90.00
Last column: nearest neighbours and their distance in Å.
Space group Cmmm (No. 65)
Inequivalent atoms, fractional coordinates:
1 Cd 0.0000 0.0000 0.0000 x2  4 Cl 2.57, 2 N 2.63
2 N 0.0000 0.2896 0.0000 x4  1 Cd 2.63
3 Cl 0.2256 0.0000 0.5000 x4  2 Cd 2.57

## Properties
Calculated volume, Å³/atom: 26.644
Density, g/cm3: 2.634

b:
CdN2Cl2 | GGA-PBE | optimized geometry

Unit cell a=6.7802 b=3.8994 c=10.3349 alpha=90.00 beta=95.26 gamma=90.00
Last column: nearest neighbours and their distance in Å.
Space group C2/m (No. 12)
Inequivalent atoms, fractional coordinates:
1 Cd 0.0000 0.0000 0.0000 x2  6 Cl 2.68
2 N 0.0455 0.0000 0.4578 x4  1 N 1.11
3 Cl 0.1470 0.5000 0.8598 x4  3 Cd 2.68

## Properties
Calculated volume, Å³/atom: 27.209
Density, g/cm3: 2.579

Sorted by energy, starting with the most stable: b, a.

a:
CdPNCl2 | GGA-PBE | optimized geometry

Unit cell a=5.1585 b=5.1585 c=5.3339 alpha=90.00 beta=90.00 gamma=90.00
Last column: nearest neighbours and their distance in Å.
Space group P4/mmm (No. 123)
Inequivalent atoms, fractional coordinates:
1 Cd 0.0000 0.0000 0.0000 x1  4 Cl 2.58, 2 P 2.67
2 P 0.0000 0.0000 0.5000 x1  2 Cd 2.67
3 N 0.5000 0.5000 0.5000 x1  4 P 3.65, 8 Cl 3.71
4 Cl 0.0000 0.5000 0.0000 x2  2 Cd 2.58

## Properties
Calculated volume, Å³/atom: 28.387
Density, g/cm3: 2.671

b:
CdPNCl2 | GGA-PBE | optimized geometry

Unit cell a=5.8128 b=5.8128 c=3.2893 alpha=90.00 beta=90.00 gamma=90.00
Last column: nearest neighbours and their distance in Å.
Space group P4/mmm (No. 123)
Inequivalent atoms, fractional coordinates:
1 Cd 0.0000 0.0000 0.0000 x1  2 Cd 3.29, 8 Cl 3.34
2 P 0.5000 0.5000 0.0000 x1  2 N 1.64
3 N 0.5000 0.5000 0.5000 x1  2 P 1.64
4 Cl 0.0000 0.5000 0.5000 x2  2 N 2.91

## Properties
Calculated volume, Å³/atom: 22.228
Density, g/cm3: 3.411

Sorted by energy, starting with the most stable: b, a.

a:
CdSNCl2 | GGA-PBE | optimized geometry

Unit cell a=4.2984 b=4.2984 c=4.6843 alpha=90.00 beta=90.00 gamma=90.00
Last column: nearest neighbours and their distance in Å.
Space group P4/mmm (No. 123)
Inequivalent atoms, fractional coordinates:
1 Cd 0.0000 0.0000 0.0000 x1  4 S 3.04, 8 Cl 3.18
2 S 0.5000 0.5000 0.0000 x1  2 N 2.34
3 N 0.5000 0.5000 0.5000 x1  4 Cl 2.15, 2 S 2.34
4 Cl 0.0000 0.5000 0.5000 x2  2 N 2.15

## Properties
Calculated volume, Å³/atom: 17.309
Density, g/cm3: 4.401

b:
CdSNCl2 | GGA-PBE | optimized geometry

Unit cell a=5.2507 b=5.2507 c=5.3301 alpha=90.00 beta=90.00 gamma=90.00
Last column: nearest neighbours and their distance in Å.
Space group P4/mmm (No. 123)
Inequivalent atoms, fractional coordinates:
1 Cd 0.0000 0.0000 0.0000 x1  4 Cl 2.63, 2 S 2.67
2 S 0.0000 0.0000 0.5000 x1  2 Cd 2.67
3 N 0.5000 0.5000 0.5000 x1  4 S 3.71, 8 Cl 3.74
4 Cl 0.0000 0.5000 0.0000 x2  2 Cd 2.63

## Properties
Calculated volume, Å³/atom: 29.390
Density, g/cm3: 2.592

Sorted by energy, starting with the most stable: a, b.

a:
CdS2NCl | GGA-PBE | optimized geometry

Unit cell a=5.2696 b=5.2696 c=4.3668 alpha=90.00 beta=90.00 gamma=90.00
Last column: nearest neighbours and their distance in Å.
Space group P4/mmm (No. 123)
Inequivalent atoms, fractional coordinates:
1 Cd 0.0000 0.0000 0.0000 x1  2 N 2.18
2 S 0.0000 0.5000 0.0000 x2  2 Cd 2.63
3 N 0.0000 0.0000 0.5000 x1  2 Cd 2.18
4 Cl 0.5000 0.5000 0.5000 x1  8 S 3.42, 4 N 3.73

## Properties
Calculated volume, Å³/atom: 24.252
Density, g/cm3: 3.095

b:
CdS2NCl | GGA-PBE | optimized geometry

Unit cell a=5.2336 b=5.2336 c=5.3318 alpha=90.00 beta=90.00 gamma=90.00
Last column: nearest neighbours and their distance in Å.
Space group P4/mmm (No. 123)
Inequivalent atoms, fractional coordinates:
1 Cd 0.0000 0.0000 0.0000 x1  4 S 2.62, 2 Cl 2.67
2 S 0.0000 0.5000 0.0000 x2  2 Cd 2.62
3 N 0.5000 0.5000 0.5000 x1  4 Cl 3.70, 8 S 3.74
4 Cl 0.0000 0.0000 0.5000 x1  2 Cd 2.67

## Properties
Calculated volume, Å³/atom: 29.208
Density, g/cm3: 2.570

c:
CdS2NCl | GGA-PBE | optimized geometry

Unit cell a=4.9011 b=4.9011 c=3.8194 alpha=90.00 beta=90.00 gamma=90.00
Last column: nearest neighbours and their distance in Å.
Space group P4/mmm (No. 123)
Inequivalent atoms, fractional coordinates:
1 Cd 0.0000 0.0000 0.0000 x1  8 S 3.11, 4 N 3.47
2 S 0.0000 0.5000 0.5000 x2  2 Cl 2.45
3 N 0.5000 0.5000 0.0000 x1  2 Cl 1.91
4 Cl 0.5000 0.5000 0.5000 x1  2 N 1.91

## Properties
Calculated volume, Å³/atom: 18.349
Density, g/cm3: 4.090

Sorted by energy, starting with the most stable: c, a, b.

a:
CdSeN2Cl | GGA-PBE | optimized geometry

Unit cell a=4.1171 b=4.1171 c=5.1364 alpha=90.00 beta=90.00 gamma=90.00
Last column: nearest neighbours and their distance in Å.
Space group P4/mmm (No. 123)
Inequivalent atoms, fractional coordinates:
1 Cd 0.0000 0.0000 0.0000 x1  4 Se 2.91
2 Se 0.5000 0.5000 0.0000 x1  2 Cl 2.57
3 N 0.0000 0.5000 0.5000 x2  2 Cl 2.06
4 Cl 0.5000 0.5000 0.5000 x1  4 N 2.06

## Properties
Calculated volume, Å³/atom: 17.413
Density, g/cm3: 4.860

b:
CdSeN2Cl | GGA-PBE | optimized geometry

Unit cell a=4.2810 b=4.2810 c=6.0750 alpha=90.00 beta=90.00 gamma=90.00
Last column: nearest neighbours and their distance in Å.
Space group P4/mmm (No. 123)
Inequivalent atoms, fractional coordinates:
1 Cd 0.0000 0.0000 0.0000 x1  4 N 2.14
2 Se 0.0000 0.0000 0.5000 x1  4 Cl 3.03, 2 Cd 3.04
3 N 0.0000 0.5000 0.0000 x2  2 Cd 2.14
4 Cl 0.5000 0.5000 0.5000 x1  4 Se 3.03

## Properties
Calculated volume, Å³/atom: 22.268
Density, g/cm3: 3.801

Sorted by energy, starting with the most stable: b, a.